(1)
The following is a DFT calculation (PBE) of crystalline CdSnPt2 at its relaxed geometry.

Unit cell a=5.4958 b=4.1698 c=7.1277 alpha=90.00 beta=108.14 gamma=90.00
Atoms (fractional coordinates):
Cd 0.2028 0.2500 0.1736
Cd 0.7972 0.7500 0.8264
Sn 0.1974 0.2500 0.6774
Sn 0.8026 0.7500 0.3226
Pt 0.3257 0.7500 0.4733
Pt 0.3316 0.7500 0.9368
Pt 0.6684 0.2500 0.0632
Pt 0.6743 0.2500 0.5267

Summary:
Calculated formation energy: -357 meV/atom



(2)
The following is a DFT calculation (PBE) of crystalline Ni4SbCl at its relaxed geometry.

Unit cell a=4.9562 b=4.9562 c=4.9562 alpha=60.00 beta=60.00 gamma=60.00
Atoms (fractional coordinates):
Ni 0.1241 0.1241 0.1241
Ni 0.1241 0.1241 0.6278
Ni 0.1241 0.6278 0.1241
Ni 0.6278 0.1241 0.1241
Sb 0.7500 0.7500 0.7500
Cl 0.5000 0.5000 0.5000

Summary:
ΔE_f (raw): 2.00 eV/f.u.



(3)
The following is a DFT calculation (PBE) of crystalline CePrMgGe at its relaxed geometry.

Unit cell a=5.2955 b=5.2955 c=5.2955 alpha=60.00 beta=60.00 gamma=60.00
Atoms (fractional coordinates):
Ce 0.0000 0.0000 0.0000
Pr 0.5000 0.5000 0.5000
Mg 0.7500 0.7500 0.7500
Ge 0.2500 0.2500 0.2500

Summary:
Calculated formation energy: -297 meV/atom



(4)
The following is a DFT calculation (PBE) of crystalline Nd5Sm3P8 at its relaxed geometry.

Unit cell a=8.2904 b=8.2904 c=8.2904 alpha=60.00 beta=60.00 gamma=60.00
Atoms (fractional coordinates):
Nd 0.0000 0.0000 0.0000
Nd 0.0000 0.5000 0.5000
Nd 0.5000 0.0000 0.5000
Nd 0.5000 0.5000 0.0000
Nd 0.5000 0.5000 0.5000
Sm 0.0000 0.0000 0.5000
Sm 0.0000 0.5000 0.0000
Sm 0.5000 0.0000 0.0000
P 0.2477 0.7500 0.7500
P 0.2488 0.2488 0.2488
P 0.2500 0.2500 0.7523
P 0.2500 0.7523 0.2500
P 0.7500 0.2477 0.7500
P 0.7500 0.7500 0.2477
P 0.7512 0.7512 0.7512
P 0.7523 0.2500 0.2500

Summary:
Calculated formation energy: -1550 meV/atom



(5)
The following is a DFT calculation (PBE) of crystalline Nd2Y3Sc3 at its relaxed geometry.

Unit cell a=10.4773 b=10.4773 c=10.4773 alpha=153.08 beta=152.56 gamma=38.82
Atoms (fractional coordinates):
Nd 0.2489 0.2489 0.0000
Nd 0.7511 0.7511 0.0000
Y 0.0000 0.0000 0.0000
Y 0.3797 0.8797 0.5000
Y 0.6203 0.1203 0.5000
Sc 0.1216 0.6216 0.5000
Sc 0.5000 0.5000 0.0000
Sc 0.8784 0.3784 0.5000

Summary:
Calculated formation energy: 61 meV/atom



(6)
The following is a DFT calculation (PBE) of crystalline CePrDyEr at its relaxed geometry.

Unit cell a=5.6922 b=5.6922 c=5.6922 alpha=60.00 beta=60.00 gamma=60.00
Atoms (fractional coordinates):
Ce 0.0000 0.0000 0.0000
Pr 0.5000 0.5000 0.5000
Dy 0.7500 0.7500 0.7500
Er 0.2500 0.2500 0.2500

Summary:
Calculated formation energy: 162 meV/atom



Here are the calculated size of the total moment numbers, same order: 0.000; 0.010; 1.160; 0.000; 0.000; 0.763 (μB per cell).
Here are the calculated total DFT energy (no corrections) numbers, same order: -4.61; -4.52; -4.53; -6.63; -5.93; -4.81 (eV/atom).